Density functional theory data (PBE) for a geometry-optimized Nd2CoH6Rh structure.

Results
The density of states at the Fermi level is 0.435 states/eV per atom. The calculation puts the volume at 9.9 A^3/atom. The calculation puts the total energy at -4.90 eV/atom.

Cell: 7.3123 7.3495 7.4001 Å, 90.00 90.00 90.00°
Last column: nearest neighbours and their distance in Å.
Space group Fmmm (No. 69)
One atom of each set of equivalent atoms:
1 Nd 0.2500 0.2500 0.2500  12 H 2.59-2.61
2 Co 0.0000 0.0000 0.0000  6 H 1.72-1.73
3 H 0.0000 0.0000 0.2333  1 Co 1.73
4 H 0.0000 0.2347 0.0000  1 Co 1.72
5 H 0.2362 0.0000 0.0000  1 Co 1.73, 1 Rh 1.93
6 Rh 0.0000 0.0000 0.5000  6 H 1.93-1.97